VASP calculation (PBEsol) on a relaxed structure of Y5Mg.

It has space group Cm (No. 8), with a = 12.5863 Å, b = 3.5632 Å, c = 8.2000 Å, α = 90.00°, β = 104.77° and γ = 90.00°. Symmetry generates all atoms from Y at (0.0000, 0.0000, 0.0000), Y at (0.0388, 0.0000, 0.6088), Y at (0.1682, 0.5000, 0.3476), Y at (0.2178, 0.5000, 0.9320), Y at (0.3876, 0.0000, 0.2686) and Mg at (0.3267, 0.0000, 0.6692).

For the energy above the lowest structure with this stoichiometry, the calculation gives 11.3 meV/atom. The calculation puts the total energy at -35.844 eV per formula unit. For the calculated density, the calculation gives 4.38 g/cm³. For the formation energy, the calculation gives -0.0026 eV per atom.

VASP calculation (PBEsol) on a relaxed structure of CsAlMo2O8.

It has space group P-3m1 (No. 164), with a = 5.5711 Å, b = 5.5711 Å, c = 7.9594 Å, α = 90.00°, β = 90.00° and γ = 120.00°. Symmetry generates all atoms from Cs at (0.0000, 0.0000, 0.0000), Al at (0.0000, 0.0000, 0.5000), Mo at (0.3333, 0.6667, 0.7073), O at (0.1584, 0.3167, 0.6392) and O at (0.3333, 0.6667, 0.9235).

The calculation puts the total energy at -98.078 eV per formula unit. As for the uncorrected formation energy: -221.2 kJ per mole of atoms. For the calculated density, the calculation gives 3.72 g/cm³.

VASP calculation (PBEsol) on a relaxed structure of TcRhBr2.

It has space group Pmmm (No. 47), with a = 2.9738 Å, b = 4.2321 Å, c = 5.5216 Å, α = 90.00°, β = 90.00° and γ = 90.00°. Symmetry generates all atoms from Tc at (0.0000, 0.0000, 0.0000), Rh at (0.5000, 0.0000, 0.5000), Br at (0.0000, 0.5000, 0.5000) and Br at (0.5000, 0.5000, 0.0000).

For the energy above the lowest structure with this stoichiometry, the calculation gives 484.6 meV/atom. The calculation puts the total energy at -19.802 eV per formula unit. As for the uncorrected formation energy: 80.6 kJ per mole of atoms. For the calculated density, the calculation gives 8.62 g/cm³.

VASP calculation (PBEsol) on a relaxed structure of TiCd3Bi.

It has space group Pm-3m (No. 221), with a = 5.1971 Å, b = 5.1971 Å, c = 5.1971 Å, α = 90.00°, β = 90.00° and γ = 90.00°. Symmetry generates all atoms from Ti at (0.0000, 0.0000, 0.0000), Cd at (0.0000, 0.0000, 0.5000) and Bi at (0.5000, 0.5000, 0.5000).

The calculation puts the total energy at -12.261 eV per formula unit. For the calculated density, the calculation gives 7.03 g/cm³. For the formation energy, the calculation gives 0.7875 eV per atom.

VASP calculation (PBEsol) on a relaxed structure of NaNbTc3.

It has space group Pm-3m (No. 221), with a = 4.7382 Å, b = 4.7382 Å, c = 4.7382 Å, α = 90.00°, β = 90.00° and γ = 90.00°. Symmetry generates all atoms from Na at (0.0000, 0.0000, 0.0000), Nb at (0.5000, 0.5000, 0.5000) and Tc at (0.0000, 0.5000, 0.5000).

The calculation puts the total energy at -36.865 eV per formula unit. For the calculated density, the calculation gives 6.40 g/cm³. For the formation energy, the calculation gives 1.8310 eV per atom.

VASP calculation (PBEsol) on a relaxed structure of TaSi3Tc.

It has space group Pm-3m (No. 221), with a = 4.5108 Å, b = 4.5108 Å, c = 4.5108 Å, α = 90.00°, β = 90.00° and γ = 90.00°. Symmetry generates all atoms from Ta at (0.0000, 0.0000, 0.0000), Si at (0.0000, 0.5000, 0.5000) and Tc at (0.5000, 0.5000, 0.5000).

The calculation puts the total energy at -35.926 eV per formula unit. As for the uncorrected formation energy: 99.0 kJ per mole of atoms. For the calculated density, the calculation gives 6.57 g/cm³.